No. 1
MgCo2Se: PBEsol geometry, SCAN.

Output
mass density	6.64	g/cm³
polymorph energy (0 for the lowest one)	0.13	eV per formula unit
crystal system	cubic
raw formation energy	0.298	eV per atom

Unit cell a=4.2761 b=4.2761 c=4.2761 alpha=60.00 beta=60.00 gamma=60.00
With the nearest neighbours (Å) after each atom.
Element x y z (fractional)
Co 0.0000 0.0000 0.0000  4 Co 2.62, 4 Se 2.62
Co 0.7500 0.7500 0.7500  4 Mg 2.62, 4 Co 2.62
Mg 0.5000 0.5000 0.5000  4 Se 2.62, 4 Co 2.62
Se 0.2500 0.2500 0.2500  4 Co 2.62, 4 Mg 2.62

***

No. 2
Mg2CoSi: PBEsol geometry, SCAN.

Output
mass density	3.90	g/cm³
crystal system	tetragonal
raw formation energy	0.098	eV per atom

Unit cell a=3.7724 b=3.7724 c=4.8533 alpha=112.87 beta=112.87 gamma=90.00
With the nearest neighbours (Å) after each atom.
Element x y z (fractional)
Co 0.5000 0.5000 0.0000  4 Si 2.67, 8 Mg 2.77
Mg 0.7500 0.2500 0.5000  4 Mg 2.67, 4 Co 2.77, 4 Si 2.77
Mg 0.2500 0.7500 0.5000  4 Mg 2.67, 4 Co 2.77, 4 Si 2.77
Si 0.0000 0.0000 0.0000  4 Co 2.67, 8 Mg 2.77

***

No. 3
Mg2CoSi: PBEsol geometry, SCAN.

Output
mass density	4.06	g/cm³
crystal system	cubic
raw formation energy	0.102	eV per atom

Unit cell a=4.2822 b=4.2822 c=4.2822 alpha=60.00 beta=60.00 gamma=60.00
With the nearest neighbours (Å) after each atom.
Element x y z (fractional)
Co 0.5000 0.5000 0.5000  4 Mg 2.62, 4 Si 2.62
Mg 0.0000 0.0000 0.0000  4 Si 2.62, 4 Mg 2.62
Mg 0.2500 0.2500 0.2500  4 Mg 2.62, 4 Co 2.62
Si 0.7500 0.7500 0.7500  4 Co 2.62, 4 Mg 2.62

***

No. 4
Sm4Mg3Co2: PBEsol geometry, SCAN.

Output
mass density	6.16	g/cm³
formation enthalpy at 0 K	-86	kJ/mol of formula units
crystal system	monoclinic

Unit cell a=3.7220 b=7.4824 c=8.1523 alpha=109.92 beta=90.00 gamma=90.00
With the nearest neighbours (Å) after each atom.
Element x y z (fractional)
Sm 0.5000 0.3985 0.1776  4 Co 2.84-2.91
Sm 0.5000 0.9031 0.2757  2 Co 2.67
Sm 0.5000 0.6015 0.8224  4 Co 2.84-2.91
Sm 0.5000 0.0969 0.7243  2 Co 2.67
Mg 0.0000 0.2942 0.5019  1 Co 3.06, 1 Mg 3.09, 6 Sm 3.28-3.43
Mg 0.0000 0.0000 0.0000  2 Co 3.03, 8 Sm 3.19-3.39
Mg 0.0000 0.7058 0.4981  1 Co 3.06, 1 Mg 3.09, 6 Sm 3.28-3.43
Co 0.0000 0.3492 0.8918  1 Co 2.34
Co 0.0000 0.6508 0.1082  1 Co 2.34

***

No. 5
MgTaCo: PBEsol geometry, SCAN.

Output
mass density	8.67	g/cm³
polymorph energy (0 for the lowest one)	4.22	eV per formula unit
formation enthalpy at 0 K	429	kJ/mol of formula units
crystal system	cubic

Unit cell a=4.1512 b=4.1512 c=4.1512 alpha=60.00 beta=60.00 gamma=60.00
With the nearest neighbours (Å) after each atom.
Element x y z (fractional)
Co 0.5000 0.5000 0.5000  4 Mg 2.54
Mg 0.2500 0.2500 0.2500  4 Co 2.54, 4 Ta 2.54
Ta 0.0000 0.0000 0.0000  4 Mg 2.54

***

No. 6
MgTaCo2: PBEsol geometry, SCAN.

Output
mass density	9.84	g/cm³
formation enthalpy at 0 K	125	kJ/mol of formula units
crystal system	orthorhombic

Unit cell a=2.7110 b=3.9971 c=5.0302 alpha=90.00 beta=90.00 gamma=90.00
With the nearest neighbours (Å) after each atom.
Element x y z (fractional)
Co 0.0000 0.0000 0.9760  2 Mg 2.43-2.60, 4 Ta 2.59, 2 Co 2.71
Co 0.5000 0.5000 0.2746  2 Ta 2.44-2.59, 4 Mg 2.59, 2 Co 2.71
Mg 0.0000 0.0000 0.4593  6 Co 2.43-2.60, 2 Mg 2.71
Ta 0.5000 0.5000 0.7901  6 Co 2.44-2.59, 2 Ta 2.71

***

No. 7
MgTaCo2: PBEsol geometry, SCAN.

Output
mass density	9.70	g/cm³
formation enthalpy at 0 K	-52	kJ/mol of formula units
crystal system	tetragonal

Unit cell a=3.0166 b=3.0166 c=6.0798 alpha=90.00 beta=90.00 gamma=90.00
With the nearest neighbours (Å) after each atom.
Element x y z (fractional)
Mg 0.5000 0.5000 0.0000  8 Co 2.71, 4 Mg 3.02
Co 0.0000 0.0000 0.7249  4 Ta 2.53, 4 Mg 2.71, 1 Co 2.73
Co 0.0000 0.0000 0.2751  4 Ta 2.53, 4 Mg 2.71, 1 Co 2.73
Ta 0.5000 0.5000 0.5000  8 Co 2.53

***

No. 8
MgTaCo2: PBEsol geometry, SCAN.

Output
mass density	9.47	g/cm³
formation enthalpy at 0 K	61	kJ/mol of formula units
crystal system	tetragonal

Unit cell a=2.7477 b=2.7477 c=7.5059 alpha=90.00 beta=90.00 gamma=90.00
With the nearest neighbours (Å) after each atom.
Element x y z (fractional)
Co 0.0000 0.0000 0.0367  4 Co 2.35
Co 0.5000 0.5000 0.2127  4 Co 2.35
Mg 0.0000 0.0000 0.4605  4 Co 2.69, 4 Mg 2.75
Ta 0.5000 0.5000 0.7900  4 Co 2.68, 4 Ta 2.75

***

No. 9
MgTaCo: PBEsol geometry, SCAN.

Output
mass density	9.41	g/cm³
polymorph energy (0 for the lowest one)	0.00	eV per formula unit
formation enthalpy at 0 K	22	kJ/mol of formula units
crystal system	tetragonal

Unit cell a=2.9030 b=2.9030 c=5.9031 alpha=104.23 beta=104.23 gamma=90.00
With the nearest neighbours (Å) after each atom.
Element x y z (fractional)
Co 0.0098 0.0098 0.0195  4 Ta 2.50, 4 Mg 2.70
Mg 0.3514 0.3514 0.7028  4 Co 2.70, 4 Mg 2.90
Ta 0.6388 0.6388 0.2777  4 Co 2.50

***

No. 10
Mg2CoTc: PBEsol geometry, SCAN.

Output
mass density	5.85	g/cm³
polymorph energy (0 for the lowest one)	0.00	eV per formula unit
formation enthalpy at 0 K	85	kJ/mol of formula units
crystal system	tetragonal

Unit cell a=2.6367 b=2.6367 c=8.3996 alpha=90.00 beta=90.00 gamma=90.00
With the nearest neighbours (Å) after each atom.
Element x y z (fractional)
Co 0.5000 0.5000 0.5000  4 Co 2.64, 8 Mg 2.71
Mg 0.0000 0.0000 0.7348  4 Mg 2.64, 4 Co 2.71, 4 Tc 2.91
Mg 0.0000 0.0000 0.2652  4 Mg 2.64, 4 Co 2.71, 4 Tc 2.91
Tc 0.5000 0.5000 0.0000  4 Tc 2.64, 8 Mg 2.91

***

No. 11
MgCoTc2: PBEsol geometry, SCAN.

Output
mass density	8.55	g/cm³
formation enthalpy at 0 K	75	kJ/mol of formula units
crystal system	monoclinic

Unit cell a=2.5859 b=4.9779 c=4.9779 alpha=119.00 beta=97.37 gamma=97.37
With the nearest neighbours (Å) after each atom.
Element x y z (fractional)
Co 0.5000 0.5000 0.5000  2 Mg 2.53, 2 Co 2.59, 4 Tc 2.65
Mg 0.5000 0.0000 0.0000  2 Co 2.53, 2 Mg 2.59, 4 Tc 2.65
Tc 0.0000 0.5000 0.0000  4 Tc 2.53-2.59, 2 Mg 2.65, 2 Co 2.65
Tc 0.0000 0.0000 0.5000  4 Tc 2.53-2.59, 2 Co 2.65, 2 Mg 2.65

***

No. 12
Mg2CoTc: PBEsol geometry, SCAN.

Output
mass density	5.86	g/cm³
polymorph energy (0 for the lowest one)	0.02	eV per formula unit
formation enthalpy at 0 K	87	kJ/mol of formula units
crystal system	monoclinic

Unit cell a=2.6034 b=4.3448 c=5.2655 alpha=90.00 beta=102.21 gamma=90.00
With the nearest neighbours (Å) after each atom.
Element x y z (fractional)
Co 0.0000 0.5000 0.5000  2 Co 2.60, 4 Mg 2.64, 2 Tc 2.68
Mg 0.7944 0.0000 0.7457  4 Mg 2.60-2.71, 2 Co 2.64, 2 Tc 2.74
Mg 0.2056 0.0000 0.2543  4 Mg 2.60-2.71, 2 Co 2.64, 2 Tc 2.74
Tc 0.5000 0.5000 0.0000  2 Tc 2.60, 2 Co 2.68, 4 Mg 2.74

***

No. 13
MgCoTc2: PBEsol geometry, SCAN.

Output
mass density	8.61	g/cm³
formation enthalpy at 0 K	34	kJ/mol of formula units
crystal system	cubic

Unit cell a=4.2380 b=4.2380 c=4.2380 alpha=60.00 beta=60.00 gamma=60.00
With the nearest neighbours (Å) after each atom.
Element x y z (fractional)
Co 0.5000 0.5000 0.5000  4 Mg 2.60, 4 Tc 2.60
Mg 0.2500 0.2500 0.2500  4 Tc 2.60, 4 Co 2.60
Tc 0.0000 0.0000 0.0000  4 Tc 2.60, 4 Mg 2.60
Tc 0.7500 0.7500 0.7500  4 Co 2.60, 4 Tc 2.60

***

No. 14
Mg2CoTc: PBEsol geometry, SCAN.

Output
mass density	5.78	g/cm³
polymorph energy (0 for the lowest one)	0.17	eV per formula unit
formation enthalpy at 0 K	101	kJ/mol of formula units
crystal system	orthorhombic

Unit cell a=2.5907 b=5.0142 c=5.0142 alpha=115.06 beta=90.00 gamma=90.00
With the nearest neighbours (Å) after each atom.
Element x y z (fractional)
Co 0.5000 0.5000 0.5000  2 Co 2.59, 2 Tc 2.69, 8 Mg 2.82
Mg 0.0000 0.5000 0.0000  4 Mg 2.59-2.69, 4 Tc 2.82, 4 Co 2.82
Mg 0.0000 0.0000 0.5000  4 Mg 2.59-2.69, 4 Co 2.82, 4 Tc 2.82
Tc 0.5000 0.0000 0.0000  2 Tc 2.59, 2 Co 2.69, 8 Mg 2.82

***

Number 1: uncorrected energy -58.47 eV per formula unit. Number 2: uncorrected energy -36.88 eV per formula unit. Number 3: uncorrected energy -36.86 eV per formula unit. Number 4: uncorrected energy -228.19 eV per formula unit. Number 5: uncorrected energy -84.42 eV per formula unit. Number 6: uncorrected energy -104.87 eV per formula unit. Number 7: uncorrected energy -106.70 eV per formula unit. Number 8: uncorrected energy -105.53 eV per formula unit. Number 9: uncorrected energy -88.64 eV per formula unit. Number 10: uncorrected energy -61.43 eV per formula unit. Number 11: uncorrected energy -91.62 eV per formula unit. Number 12: uncorrected energy -61.41 eV per formula unit. Number 13: uncorrected energy -92.04 eV per formula unit. Number 14: uncorrected energy -61.26 eV per formula unit.